[1]
The following is a GGA-PBE calculation of ZnBrCl2 after structural relaxation, from the Alexandria database.

abc: 7.1637 7.1637 6.7903
angles: 58.16 58.16 90.00
Last column: nearest neighbours and their distance in Å.
Fractional coordinates of all 8 atoms:
Cl (0.5008, 0.1250, 0.2500)  2 Zn 2.30
Cl (0.3750, 0.4992, 0.7500)  2 Zn 2.30
Cl (0.8750, 0.7508, 0.7500)  2 Zn 2.30
Cl (0.2492, 0.6250, 0.2500)  2 Zn 2.30
Br (0.0000, 0.0000, 0.0000)  4 Cl 3.42
Br (0.7500, 0.2500, 0.5000)  4 Cl 3.42
Zn (0.2500, 0.7500, 0.5000)  4 Cl 2.30
Zn (0.5000, 0.5000, 0.0000)  4 Cl 2.30

## Properties
The space group is No. 122. The calculation puts the total magnetic moment at 2.0 μB per cell. The calculation puts the formation energy without anion corrections at -0.484 eV/atom.


[2]
The following is a GGA-PBE calculation of ZnBrCl2 after structural relaxation, from the Alexandria database.

abc: 10.6183 10.6183 10.6183
angles: 19.48 19.48 19.48
Last column: nearest neighbours and their distance in Å.
Fractional coordinates of all 4 atoms:
Cl (0.9988, 0.9988, 0.9988)  6 Cl 3.59
Cl (0.2129, 0.2129, 0.2129)  3 Zn 2.47
Br (0.7852, 0.7852, 0.7852)  3 Zn 2.62
Zn (0.5031, 0.5031, 0.5031)  3 Cl 2.47, 3 Br 2.62

## Properties
The space group is No. 160. The calculation puts the total magnetic moment at 0.9 μB per cell. The calculation puts the formation energy without anion corrections at -0.420 eV/atom.


[3]
The following is a GGA-PBE calculation of ZnBr2Cl after structural relaxation, from the Alexandria database.

abc: 5.0848 5.0848 5.0848
angles: 120.12 120.12 89.80
Last column: nearest neighbours and their distance in Å.
Fractional coordinates of all 4 atoms:
Br (0.2500, 0.7500, 0.5000)  4 Cl 3.11, 4 Br 3.11
Br (0.0000, 0.0000, 0.0000)  4 Br 3.11, 4 Zn 3.11
Cl (0.5000, 0.5000, 0.0000)  4 Br 3.11, 4 Zn 3.11
Zn (0.7500, 0.2500, 0.5000)  4 Cl 3.11, 4 Br 3.11

## Properties
The space group is No. 119. The calculation puts the total magnetic moment at 1.0 μB per cell. The calculation puts the formation energy without anion corrections at 0.240 eV/atom.


[4]
The following is a GGA-PBE calculation of ZnBr2Cl after structural relaxation, from the Alexandria database.

abc: 5.0391 5.0391 5.0391
angles: 60.00 60.00 60.00
Last column: nearest neighbours and their distance in Å.
Fractional coordinates of all 4 atoms:
Zn (0.5000, 0.5000, 0.5000)  8 Br 3.09
Br (0.7500, 0.7500, 0.7500)  4 Zn 3.09, 4 Cl 3.09
Br (0.2500, 0.2500, 0.2500)  4 Cl 3.09, 4 Zn 3.09
Cl (0.0000, 0.0000, 0.0000)  8 Br 3.09

## Properties
The space group is No. 225. The calculation puts the total magnetic moment at 1.0 μB per cell. The calculation puts the formation energy without anion corrections at 0.193 eV/atom.


[5]
The following is a GGA-PBE calculation of ZnBrCl2 after structural relaxation, from the Alexandria database.

abc: 11.3882 11.3882 11.3882
angles: 17.55 17.55 17.55
Last column: nearest neighbours and their distance in Å.
Fractional coordinates of all 4 atoms:
Cl (0.9589, 0.9589, 0.9589)  3 Zn 2.46
Cl (0.5411, 0.5411, 0.5411)  3 Zn 2.46
Zn (0.2500, 0.2500, 0.2500)  6 Cl 2.46
Br (0.7500, 0.7500, 0.7500)  6 Br 3.47

## Properties
The space group is No. 166. The calculation puts the total magnetic moment at 0.5 μB per cell. The calculation puts the formation energy without anion corrections at -0.610 eV/atom.


[6]
The following is a GGA-PBE calculation of ZnBrCl2 after structural relaxation, from the Alexandria database.

abc: 5.5455 5.5455 9.0868
angles: 90.00 90.00 143.34
Last column: nearest neighbours and their distance in Å.
Fractional coordinates of all 4 atoms:
Cl (0.5000, 0.5000, 0.3288)  2 Zn 2.34
Cl (0.0000, 0.0000, 0.9745)  2 Br 3.07
Br (0.5000, 0.5000, 0.6969)  2 Zn 2.50
Zn (0.0000, 0.0000, 0.4998)  2 Cl 2.34, 2 Br 2.50

## Properties
The space group is No. 35. The calculation puts the total magnetic moment at 1.0 μB per cell. The calculation puts the formation energy without anion corrections at -0.331 eV/atom.


[7]
The following is a GGA-PBE calculation of ZnBr2Cl after structural relaxation, from the Alexandria database.

abc: 4.3084 4.3084 6.6685
angles: 90.00 90.00 107.91
Last column: nearest neighbours and their distance in Å.
Fractional coordinates of all 4 atoms:
Cl (0.5000, 0.0000, 0.5000)  2 Zn 2.54
Br (0.5000, 0.5000, 0.0000)  2 Br 2.54
Br (0.0000, 0.0000, 0.0000)  2 Br 2.54
Zn (0.0000, 0.5000, 0.5000)  2 Cl 2.54

## Properties
The space group is No. 65. The calculation puts the total magnetic moment at 0.0 μB per cell. The calculation puts the formation energy without anion corrections at -0.088 eV/atom.


[8]
The following is a GGA-PBE calculation of ZnBr2Cl after structural relaxation, from the Alexandria database.

abc: 9.3501 9.3501 9.3501
angles: 23.52 23.52 23.52
Last column: nearest neighbours and their distance in Å.
Fractional coordinates of all 4 atoms:
Br (0.8875, 0.8875, 0.8875)  3 Zn 2.65
Br (0.1125, 0.1125, 0.1125)  3 Zn 2.65
Zn (0.5000, 0.5000, 0.5000)  6 Br 2.65
Cl (0.0000, 0.0000, 0.0000)  2 Br 3.07

## Properties
The space group is No. 166. The calculation puts the total magnetic moment at 1.0 μB per cell. The calculation puts the formation energy without anion corrections at -0.307 eV/atom.


| no. | offset from the most stable computed form (eV/atom) | uncorrected energy (eV per atom) |
| --- | --- | --- |
| 1 | 0.130 | -2.1443 |
| 2 | 0.194 | -2.0797 |
| 3 | 0.799 | -1.3764 |
| 4 | 0.752 | -1.4234 |
| 5 | 0.004 | -2.2698 |
| 6 | 0.283 | -1.9912 |
| 7 | 0.471 | -1.7041 |
| 8 | 0.252 | -1.9233 |